1.
A plane-wave DFT calculation with PBE-GGA was carried out for a relaxed Cd3Bi5Pb12 crystal.

Cell and atoms, written as CIF:
```
data_Cd3Bi5Pb12
_chemical_formula_sum 'Cd12 Bi20 Pb48'
_cell_length_a 15.805
_cell_length_b 15.805
_cell_length_c 15.805
_cell_angle_alpha 109.47
_cell_angle_beta 109.47
_cell_angle_gamma 109.47
_symmetry_space_group_name_H-M 'P 1'
_symmetry_Int_Tables_number 1
_symmetry_space_group_name_Hall 'P 1'
loop_
_atom_site_label
_atom_site_type_symbol
_atom_site_fract_x
_atom_site_fract_y
_atom_site_fract_z
_atom_site_occupancy
Bi1 Bi 0.000 0.000 0.000 1
Bi2 Bi 0.875 0.625 0.750 1
Bi3 Bi 0.000 0.500 0.500 1
Bi4 Bi 0.000 0.500 0.000 1
Bi5 Bi 0.125 0.375 0.250 1
Bi6 Bi 0.125 0.750 0.375 1
Bi7 Bi 0.250 0.875 0.125 1
Bi8 Bi 0.375 0.125 0.750 1
Bi9 Bi 0.500 0.000 0.000 1
Bi10 Bi 0.500 0.500 0.000 1
Bi11 Bi 0.750 0.125 0.875 1
Bi12 Bi 0.000 0.000 0.500 1
Bi13 Bi 0.750 0.625 0.375 1
Bi14 Bi 0.500 0.000 0.500 1
Bi15 Bi 0.250 0.375 0.625 1
Bi16 Bi 0.500 0.500 0.500 1
Bi17 Bi 0.375 0.250 0.125 1
Bi18 Bi 0.875 0.250 0.625 1
Bi19 Bi 0.625 0.750 0.875 1
Bi20 Bi 0.625 0.875 0.250 1
Pb1 Pb 0.064 0.170 0.431 1
Pb2 Pb 0.132 0.739 0.569 1
Pb3 Pb 0.830 0.936 0.069 1
Pb4 Pb 0.569 0.330 0.936 1
Pb5 Pb 0.606 0.868 0.436 1
Pb6 Pb 0.069 0.632 0.739 1
Pb7 Pb 0.106 0.936 0.368 1
Pb8 Pb 0.670 0.431 0.564 1
Pb9 Pb 0.261 0.868 0.931 1
Pb10 Pb 0.606 0.739 0.670 1
Pb11 Pb 0.431 0.670 0.064 1
Pb12 Pb 0.170 0.064 0.931 1
Pb13 Pb 0.564 0.931 0.670 1
Pb14 Pb 0.569 0.239 0.132 1
Pb15 Pb 0.761 0.431 0.368 1
Pb16 Pb 0.761 0.330 0.894 1
Pb17 Pb 0.868 0.261 0.431 1
Pb18 Pb 0.239 0.670 0.106 1
Pb19 Pb 0.632 0.564 0.894 1
Pb20 Pb 0.739 0.606 0.170 1
Pb21 Pb 0.931 0.368 0.261 1
Pb22 Pb 0.894 0.830 0.761 1
Pb23 Pb 0.431 0.761 0.868 1
Pb24 Pb 0.868 0.606 0.936 1
Pb25 Pb 0.330 0.569 0.436 1
Pb26 Pb 0.394 0.261 0.330 1
Pb27 Pb 0.830 0.894 0.261 1
Pb28 Pb 0.936 0.106 0.868 1
Pb29 Pb 0.436 0.368 0.606 1
Pb30 Pb 0.368 0.931 0.761 1
Pb31 Pb 0.330 0.761 0.394 1
Pb32 Pb 0.936 0.830 0.569 1
Pb33 Pb 0.069 0.436 0.830 1
Pb34 Pb 0.739 0.132 0.069 1
Pb35 Pb 0.261 0.394 0.830 1
Pb36 Pb 0.064 0.894 0.132 1
Pb37 Pb 0.106 0.170 0.239 1
Pb38 Pb 0.632 0.069 0.239 1
Pb39 Pb 0.564 0.632 0.394 1
Pb40 Pb 0.394 0.132 0.564 1
Pb41 Pb 0.931 0.564 0.170 1
Pb42 Pb 0.368 0.436 0.106 1
Pb43 Pb 0.132 0.394 0.064 1
Pb44 Pb 0.436 0.069 0.330 1
Pb45 Pb 0.894 0.064 0.632 1
Pb46 Pb 0.239 0.569 0.632 1
Pb47 Pb 0.170 0.106 0.739 1
Pb48 Pb 0.670 0.239 0.606 1
Cd1 Cd 0.875 0.125 0.250 1
Cd2 Cd 0.375 0.750 0.625 1
Cd3 Cd 0.375 0.625 0.250 1
Cd4 Cd 0.750 0.875 0.625 1
Cd5 Cd 0.875 0.750 0.125 1
Cd6 Cd 0.250 0.625 0.875 1
Cd7 Cd 0.625 0.375 0.750 1
Cd8 Cd 0.625 0.250 0.375 1
Cd9 Cd 0.125 0.250 0.875 1
Cd10 Cd 0.250 0.125 0.375 1
Cd11 Cd 0.750 0.375 0.125 1
Cd12 Cd 0.125 0.875 0.750 1
```

The calculation puts the density of states at the Fermi level at 6.399 states/eV/f.u. The crystal system is cubic. Its space group is Ia-3d. For the calculated formation energy, the calculation gives 0.180 eV per atom. The energy comes out at -0.1158 Ha/atom.

---

2.
A plane-wave DFT calculation with PBE-GGA was carried out for a relaxed ReTe2 crystal.

Cell and atoms, written as CIF:
```
data_ReTe2
_chemical_formula_sum 'Re2 Te4'
_cell_length_a 5.577
_cell_length_b 5.577
_cell_length_c 5.577
_cell_angle_alpha 107.87
_cell_angle_beta 107.87
_cell_angle_gamma 112.72
_symmetry_space_group_name_H-M 'P 1'
_symmetry_Int_Tables_number 1
_symmetry_space_group_name_Hall 'P 1'
loop_
_atom_site_label
_atom_site_type_symbol
_atom_site_fract_x
_atom_site_fract_y
_atom_site_fract_z
_atom_site_occupancy
Re1 Re 0.250 0.250 0.000 1
Re2 Re 0.750 0.750 0.000 1
Te1 Te 0.826 0.674 0.500 1
Te2 Te 0.174 0.326 0.500 1
Te3 Te 0.326 0.826 0.152 1
Te4 Te 0.674 0.174 0.848 1
```

The calculation puts the density of states at the Fermi level at 2.464 states/eV/f.u. The crystal system is tetragonal. For the energy relative to the elements, uncorrected, the calculation gives 0.560 eV per atom. Its space group is I4/mcm. The energy comes out at -0.2089 Ha/atom.

---

3.
A plane-wave DFT calculation with PBE-GGA was carried out for a relaxed Er4NiPb2 crystal.

Cell and atoms, written as CIF:
```
data_Er4NiPb2
_chemical_formula_sum 'Er4 Ni1 Pb2'
_cell_length_a 4.925
_cell_length_b 4.925
_cell_length_c 8.917
_cell_angle_alpha 106.03
_cell_angle_beta 106.03
_cell_angle_gamma 90.00
_symmetry_space_group_name_H-M 'P 1'
_symmetry_Int_Tables_number 1
_symmetry_space_group_name_Hall 'P 1'
loop_
_atom_site_label
_atom_site_type_symbol
_atom_site_fract_x
_atom_site_fract_y
_atom_site_fract_z
_atom_site_occupancy
Er1 Er 0.500 0.000 0.000 1
Er2 Er 0.828 0.828 0.655 1
Er3 Er 0.000 0.500 0.000 1
Er4 Er 0.172 0.172 0.345 1
Pb1 Pb 0.639 0.639 0.278 1
Pb2 Pb 0.361 0.361 0.722 1
Ni1 Ni 0.000 0.000 0.000 1
```

The calculation puts the density of states at the Fermi level at 5.328 states/eV/f.u. The crystal system is tetragonal. Its space group is I4/mmm. For the calculated formation energy, the calculation gives -0.340 eV per atom. The energy comes out at -0.1776 Ha/atom. The relative energy among the computed polymorphs comes out at 12 meV per atom.

---

4.
A plane-wave DFT calculation with PBE-GGA was carried out for a relaxed Sr2LiRh crystal.

Cell and atoms, written as CIF:
```
data_Sr2LiRh
_chemical_formula_sum 'Sr2 Li1 Rh1'
_cell_length_a 5.273
_cell_length_b 5.273
_cell_length_c 5.273
_cell_angle_alpha 60.00
_cell_angle_beta 60.00
_cell_angle_gamma 60.00
_symmetry_space_group_name_H-M 'P 1'
_symmetry_Int_Tables_number 1
_symmetry_space_group_name_Hall 'P 1'
loop_
_atom_site_label
_atom_site_type_symbol
_atom_site_fract_x
_atom_site_fract_y
_atom_site_fract_z
_atom_site_occupancy
Rh1 Rh 0.750 0.750 0.750 1
Sr1 Sr 0.250 0.250 0.250 1
Sr2 Sr 0.000 0.000 0.000 1
Li1 Li 0.500 0.500 0.500 1
```

The calculation puts the density of states at the Fermi level at 1.045 states/eV/f.u. The crystal system is cubic. Its space group is F-43m. For the calculated formation energy, the calculation gives 0.139 eV per atom. The energy comes out at -0.1109 Ha/atom.